No. 1
This record from Alexandria via LeMat-Bulk describes a relaxed CsGaBiTe3 crystal. The functional is GGA-PBE.

Cell lengths 4.9100, 10.1080, 10.8303 Å; angles 108.24, 90.00, 90.00 degrees
With the nearest neighbours (Å) after each atom.
Fractional positions:
Bi: 0.2500 0.6658 0.1293  5 Te 3.03-3.23
Bi: 0.7500 0.3342 0.8707  5 Te 3.03-3.23
Cs: 0.2500 0.2066 0.2434  7 Te 3.94-4.10, 1 Ga 4.37
Cs: 0.7500 0.7934 0.7566  7 Te 3.94-4.10, 1 Ga 4.37
Te: 0.7500 0.4725 0.1624  3 Bi 3.03-3.23
Te: 0.2500 0.1230 0.8609  1 Ga 2.73
Te: 0.7500 0.1905 0.5415  3 Ga 2.79-2.82
Te: 0.2500 0.8095 0.4585  3 Ga 2.79-2.82
Te: 0.7500 0.8770 0.1391  1 Ga 2.73
Te: 0.2500 0.5275 0.8376  3 Bi 3.03-3.23
Ga: 0.2500 0.0956 0.6022  4 Te 2.73-2.82
Ga: 0.7500 0.9044 0.3978  4 Te 2.73-2.82

Properties
formation energy (no corrections)	-497.4	meV/atom
theoretical density	5.168	g/cm3
total magnetization	0.000	μB per cell


No. 2
This record from Alexandria via LeMat-Bulk describes a relaxed CsGaBi2Te crystal. The functional is GGA-PBE.

Cell lengths 6.0723, 6.0033, 6.0723 Å; angles 90.00, 90.00, 90.00 degrees
With the nearest neighbours (Å) after each atom.
Fractional positions:
Bi: 0.0000 0.0000 0.5000  2 Te 3.04
Bi: 0.5000 0.0000 0.0000  2 Te 3.04
Ga: 0.0000 0.5000 0.0000  2 Te 3.00
Cs: 0.5000 0.5000 0.5000  8 Bi 4.27, 4 Ga 4.29
Te: 0.0000 0.0000 0.0000  2 Ga 3.00, 4 Bi 3.04

Properties
formation energy (no corrections)	178.2	meV/atom
theoretical density	5.613	g/cm3
total magnetization	0.000	μB per cell


No. 3
This record from Alexandria via LeMat-Bulk describes a relaxed CsTl2GaBi crystal. The functional is GGA-PBE.

Cell lengths 5.8297, 5.8297, 5.7810 Å; angles 90.00, 90.00, 90.00 degrees
With the nearest neighbours (Å) after each atom.
Fractional positions:
Tl: 0.5000 0.0000 0.0000  2 Ga 2.91
Tl: 0.0000 0.5000 0.0000  2 Ga 2.91
Ga: 0.0000 0.0000 0.0000  2 Bi 2.89, 4 Tl 2.91
Bi: 0.0000 0.0000 0.5000  2 Ga 2.89
Cs: 0.5000 0.5000 0.5000  8 Tl 4.11, 4 Bi 4.12

Properties
ΔH_f (0 K)	1.0	kJ/mol of formula units
theoretical density	6.934	g/cm3
total magnetization	0.000	μB per cell


No. 4
This record from Alexandria via LeMat-Bulk describes a relaxed CsTl2GaBi2 crystal. The functional is GGA-PBE.

Cell lengths 5.7862, 5.7862, 7.1980 Å; angles 90.00, 90.00, 90.00 degrees
With the nearest neighbours (Å) after each atom.
Fractional positions:
Bi: 0.5000 0.0000 0.0000  2 Ga 2.89
Bi: 0.0000 0.5000 0.0000  2 Ga 2.89
Cs: 0.0000 0.0000 0.5000  2 Ga 3.60
Ga: 0.0000 0.0000 0.0000  4 Bi 2.89
Tl: 0.5000 0.5000 0.2464  4 Bi 3.39, 2 Tl 3.55-3.65
Tl: 0.5000 0.5000 0.7536  4 Bi 3.39, 2 Tl 3.55-3.65

Properties
ΔH_f (0 K)	-41.2	kJ/mol of formula units
theoretical density	7.093	g/cm3
total magnetization	0.000	μB per cell


No. 5
This record from Alexandria via LeMat-Bulk describes a relaxed Cs2YGaBi crystal. The functional is GGA-PBE.

Cell lengths 6.1837, 6.0424, 6.1837 Å; angles 90.00, 90.00, 90.00 degrees
With the nearest neighbours (Å) after each atom.
Fractional positions:
Y: 0.0000 0.5000 0.0000  2 Ga 3.02
Bi: 0.5000 0.5000 0.5000  8 Cs 4.32, 4 Y 4.37
Cs: 0.5000 0.0000 0.0000  2 Ga 3.09
Cs: 0.0000 0.0000 0.5000  2 Ga 3.09
Ga: 0.0000 0.0000 0.0000  2 Y 3.02, 4 Cs 3.09

Properties
ΔH_f (0 K)	177.5	kJ/mol of formula units
theoretical density	4.552	g/cm3
total magnetization	0.000	μB per cell


No. 6
This record from Alexandria via LeMat-Bulk describes a relaxed CsGeBi2 crystal. The functional is GGA-PBE.

Cell lengths 8.9312, 8.9312, 7.5106 Å; angles 53.52, 53.52, 90.00 degrees
With the nearest neighbours (Å) after each atom.
Fractional positions:
Bi: 0.2224 0.6250 0.2500  2 Ge 2.81
Bi: 0.8750 0.7776 0.7500  2 Ge 2.81
Bi: 0.3750 0.4724 0.7500  2 Ge 2.81
Bi: 0.5276 0.1250 0.2500  2 Ge 2.81
Ge: 0.5000 0.5000 0.0000  4 Bi 2.81
Ge: 0.2500 0.7500 0.5000  4 Bi 2.81
Cs: 0.0000 0.0000 0.0000  8 Bi 3.96-4.02, 2 Ge 4.07
Cs: 0.7500 0.2500 0.5000  8 Bi 3.96-4.02, 2 Ge 4.07

Properties
ΔH_f (0 K)	1.7	kJ/mol of formula units
theoretical density	6.386	g/cm3
total magnetization	0.000	μB per cell


No. 7
This record from Alexandria via LeMat-Bulk describes a relaxed CsGeBi2 crystal. The functional is GGA-PBE.

Cell lengths 4.0738, 4.0738, 10.3600 Å; angles 78.66, 78.66, 60.00 degrees
With the nearest neighbours (Å) after each atom.
Fractional positions:
Ge: 0.0000 0.0000 0.0000  6 Bi 2.97
Bi: 0.2735 0.2735 0.1794  3 Ge 2.97
Bi: 0.7265 0.7265 0.8206  3 Ge 2.97
Cs: 0.5000 0.5000 0.5000  6 Bi 4.00, 6 Cs 4.07

Properties
ΔH_f (0 K)	32.3	kJ/mol of formula units
theoretical density	7.140	g/cm3
total magnetization	0.000	μB per cell


No. 8
This record from Alexandria via LeMat-Bulk describes a relaxed Cs2Ge2Bi crystal. The functional is GGA-PBE.

Cell lengths 11.0394, 11.0394, 3.4131 Å; angles 90.00, 90.00, 90.00 degrees
With the nearest neighbours (Å) after each atom.
Fractional positions:
Ge: 0.4247 0.9247 0.0000  1 Ge 2.35
Ge: 0.9247 0.5753 0.0000  1 Ge 2.35
Ge: 0.5753 0.0753 0.0000  1 Ge 2.35
Ge: 0.0753 0.4247 0.0000  1 Ge 2.35
Cs: 0.7837 0.2837 0.5000  2 Cs 3.41, 2 Ge 3.67
Cs: 0.2163 0.7163 0.5000  2 Cs 3.41, 2 Ge 3.67
Cs: 0.7163 0.7837 0.5000  2 Cs 3.41, 2 Ge 3.67
Cs: 0.2837 0.2163 0.5000  2 Cs 3.41, 2 Ge 3.67
Bi: 0.5000 0.5000 0.0000  2 Bi 3.41
Bi: 0.0000 0.0000 0.0000  2 Bi 3.41

Properties
excess energy over the best structure of this formula in the dataset	0.247	eV/atom
ΔH_f (0 K)	92.9	kJ/mol of formula units
theoretical density	4.951	g/cm3
total magnetization	0.000	μB per cell